No. 1
The following is a DFT calculation (PBE) of a relaxed structure of AgOsPd2.

Cell and atoms, written as POSCAR:
```
AgOsPd2
1.0
0.0000 3.1663 3.1663
3.1663 0.0000 3.1663
3.1663 3.1663 0.0000
Ag Os Pd
1 1 2
direct
0.0000 0.0000 0.0000
0.5000 0.5000 0.5000
0.2500 0.2500 0.2500
0.7500 0.7500 0.7500
```

Total energy, eV per atom: -5.5659
V, Å³ per cell: 63
Relative energy among the computed polymorphs, meV per atom: 0.0
DFT formation energy, eV per formula unit: 2.20

No. 2
The following is a DFT calculation (PBE) of a relaxed structure of TlSb2Pb.

Cell and atoms, written as POSCAR:
```
TlSb2Pb
1.0
3.3889 0.0000 0.0000
0.0000 3.3889 0.0000
0.0000 0.0000 10.5101
Tl Sb Pb
1 2 1
direct
0.0000 0.0000 0.0000
0.5000 0.5000 0.2572
0.5000 0.5000 0.7428
0.0000 0.0000 0.5000
```

Total energy, eV per atom: -3.4988
V, Å³ per cell: 121

> Which of these has the lowest V?

AgOsPd2